# 1
The following is a PBE calculation of Pr3PdO after structural relaxation, from Alexandria.

Cell and atoms, written as POSCAR:
```
Pr3PdO
1.0
4.943 0.000 0.000
0.000 4.943 0.000
0.000 0.000 4.943
Pr Pd O
3 1 1
Cartesian
0.000 0.000 2.471
0.000 2.471 0.000
2.471 0.000 0.000
2.471 2.471 2.471
0.000 0.000 0.000
```

Summary:
For the energy, the calculation gives -30.66 eV per cell. The value obtained for the formation energy from raw total energies is -1.23 eV/atom. As for the space-group type: Pm-3m (221).

=====

# 2
The following is a PBE calculation of TiCuNi4 after structural relaxation, from Alexandria.

Cell and atoms, written as POSCAR:
```
TiCuNi4
1.0
4.669 0.000 0.000
2.335 4.044 0.000
2.335 1.348 3.812
Ni Ti Cu
4 1 1
Cartesian
5.841 3.372 2.384
4.669 1.343 2.384
4.669 2.696 0.472
3.498 3.372 2.384
2.335 1.348 0.953
0.000 0.000 0.000
```

Summary:
For the energy, the calculation gives -36.58 eV per cell. For the energy of formation, the calculation gives -0.24 eV/atom. As for the space-group type: F-43m (216).

=====

# 3
The following is a PBE calculation of SiIrI2 after structural relaxation, from Alexandria.

Cell and atoms, written as POSCAR:
```
SiIrI2
1.0
6.576 0.000 0.000
0.000 6.576 0.000
3.288 3.288 5.940
I Ir Si
4 2 2
Cartesian
4.932 4.640 4.455
1.352 4.932 1.485
5.224 1.644 1.485
8.220 8.511 4.455
6.576 3.288 2.970
0.000 0.000 0.000
3.288 6.576 2.970
3.288 3.288 0.000
```

Summary:
For the energy, the calculation gives -27.16 eV per cell. The value obtained for the formation energy from raw total energies is 0.95 eV/atom. As for the space-group type: I-42d (122).

=====

# 4
The following is a PBE calculation of Re2Ru2Pt2Rh after structural relaxation, from Alexandria.

Cell and atoms, written as POSCAR:
```
Re2Ru2Pt2Rh
1.0
-2.158 -0.951 1.383
-2.378 -0.161 -6.523
3.386 -5.073 1.795
Pt Re Ru Rh
2 2 2 1
Cartesian
-2.670 -0.960 -4.826
1.520 -5.225 1.481
-0.811 -2.675 -0.403
-0.339 -3.510 -2.942
1.223 -4.296 -1.045
-2.374 -1.889 -2.301
1.693 -2.537 0.898
```

Summary:
For the energy, the calculation gives -61.93 eV per cell. For the energy of formation, the calculation gives 0.14 eV/atom. As for the space-group type: C2/m (12).

=====

# 5
The following is a PBE calculation of ZrMnBe after structural relaxation, from Alexandria.

Cell and atoms, written as POSCAR:
```
ZrMnBe
1.0
4.149 0.000 2.330
1.464 4.051 2.252
0.000 0.046 4.860
Zr Be Mn
2 2 2
Cartesian
1.414 2.591 4.772
4.200 1.506 4.670
2.075 0.023 3.595
2.807 2.025 2.291
2.075 0.000 1.165
0.000 0.000 0.000
```

Summary:
For the energy, the calculation gives -43.78 eV per cell. For the energy of formation, the calculation gives -0.15 eV/atom. As for the space-group type: Imma (74).

=====

# 6
The following is a PBE calculation of Ba6Pd2RhCl3 after structural relaxation, from Alexandria.

Cell and atoms, written as POSCAR:
```
Ba6Pd2RhCl3
1.0
-6.924 3.072 -2.099
0.752 -3.628 6.932
4.112 7.163 1.818
Ba Rh Cl Pd
6 1 3 2
Cartesian
-2.762 6.215 3.652
1.667 5.433 2.613
-3.727 1.174 4.038
0.702 0.391 2.999
-0.290 4.058 6.561
-1.771 2.549 0.090
0.000 0.000 0.000
-3.603 5.549 0.299
-1.030 3.303 3.326
1.543 1.058 6.353
-1.804 -1.397 3.926
-4.369 0.841 0.908
```

Summary:
For the energy, the calculation gives -48.77 eV per cell. The value obtained for the formation energy from raw total energies is -1.16 eV/atom. As for the space-group type: C2/m (12).

=====

# 7
The following is a PBE calculation of Al2WSeI after structural relaxation, from Alexandria.

Cell and atoms, written as POSCAR:
```
Al2WSeI
1.0
5.292 0.000 0.000
0.000 4.698 0.000
0.000 0.000 5.292
W Se Al I
1 1 2 1
Cartesian
0.000 0.000 0.000
0.000 2.349 0.000
0.000 0.000 2.646
2.646 0.000 0.000
2.646 2.349 2.646
```

Summary:
For the energy, the calculation gives -23.68 eV per cell. The value obtained for the formation energy from raw total energies is 0.36 eV/atom. As for the space-group type: P4/mmm (123).

=====

# 8
The following is a PBE calculation of La5CePrNd2 after structural relaxation, from Alexandria.

Cell and atoms, written as POSCAR:
```
La5CePrNd2
1.0
9.521 0.000 0.000
0.000 8.289 0.000
0.000 0.000 8.289
La Nd Ce Pr
10 4 2 2
Cartesian
7.383 1.615 5.759
4.761 0.000 0.000
7.383 6.674 2.530
4.761 4.144 4.144
2.138 2.530 1.615
7.383 5.759 6.674
2.138 6.674 2.530
7.383 2.530 1.615
2.138 5.759 6.674
2.138 1.615 5.759
4.761 3.065 7.209
4.761 1.079 3.065
4.761 5.224 1.079
4.761 7.209 5.224
0.000 4.144 0.000
0.000 0.000 4.144
0.000 0.000 0.000
0.000 4.144 4.144
```

Summary:
For the energy, the calculation gives -85.19 eV per cell. For the energy of formation, the calculation gives 0.25 eV/atom. As for the space-group type: P4/mbm (127).